Record 1
KCaMg2Ir: PBEsol geometry, meta-GGA SCAN.

Calculated values
crystal system: tetragonal
E_form: 1.266 eV per atom
E_tot: -18.541 eV/atom
DOS at the Fermi energy: 0.624 states/eV per atom
total magnetization: 0.447 μB per formula unit

Unit cell a=5.082 b=5.273 c=5.273 alpha=90.00 beta=90.00 gamma=90.00
Last column: magnetic moment on the atom in μB.
Sites, in units of the cell vectors:
1 Mg 0.000 0.000 0.500  0.01
2 Mg 0.000 0.500 0.000  0.01
3 Ca 0.500 0.500 0.500  0.00
4 Ir 0.500 0.000 0.000  0.39
5 K 0.000 0.000 0.000  0.03


Record 2
CaLaIr: PBEsol geometry, meta-GGA SCAN.

Calculated values
crystal system: trigonal
E_form: -0.533 eV per atom
E_tot: -41.822 eV/atom
DOS at the Fermi energy: 0.323 states/eV per atom
total magnetization: 0.000 μB per formula unit
ΔE to the lowest computed polymorph: 71.3 meV per atom

Unit cell a=4.127 b=4.127 c=6.417 alpha=90.00 beta=90.00 gamma=120.00
Sites, in units of the cell vectors:
1 Ca 0.000 0.000 0.904
2 Ir 0.333 0.667 0.656
3 La 0.667 0.333 0.440


Record 3
CaLaIr: PBEsol geometry, meta-GGA SCAN.

Calculated values
crystal system: cubic
E_form: -0.604 eV per atom
E_tot: -41.894 eV/atom
DOS at the Fermi energy: 0.485 states/eV per atom
total magnetization: 0.000 μB per formula unit
ΔE to the lowest computed polymorph: 0.0 meV per atom

Unit cell a=4.866 b=4.866 c=4.866 alpha=60.00 beta=60.00 gamma=60.00
Sites, in units of the cell vectors:
1 Ca 0.500 0.500 0.500
2 Ir 0.250 0.250 0.250
3 La 0.000 0.000 0.000